ZnFePt2Au | PBE | relaxed

Properties
Space-group type: P4/mmm (123)
Calculated total energy in eV per atom: -4.126
ρ in g/cm³: 11.79

CIF file:
```
data_ZnFePt2Au
_chemical_formula_sum 'Zn1 Fe1 Pt2 Au1'
_cell_length_a 4.6165
_cell_length_b 4.6807
_cell_length_c 4.6165
_cell_angle_alpha 90.00
_cell_angle_beta 90.00
_cell_angle_gamma 90.00
_symmetry_space_group_name_H-M 'P 1'
_symmetry_Int_Tables_number 1
_symmetry_space_group_name_Hall 'P 1'
loop_
_atom_site_label
_atom_site_fract_x
_atom_site_fract_y
_atom_site_fract_z
Zn1 0.0000 0.0000 0.0000
Au1 0.0000 0.5000 0.0000
Fe1 0.5000 0.5000 0.5000
Pt1 0.0000 0.0000 0.5000
Pt2 0.5000 0.0000 0.0000
```

***

Mg2MnFe | PBE | relaxed

Properties
Energy relative to the lowest polymorph listed for this composition in meV per atom: 92
Space-group type: Pm (6)
ρ in g/cm³: 4.10

CIF file:
```
data_Mg2MnFe
_chemical_formula_sum 'Mg2 Mn1 Fe1'
_cell_length_a 4.3527
_cell_length_b 2.7914
_cell_length_c 5.5022
_cell_angle_alpha 75.10
_cell_angle_beta 90.00
_cell_angle_gamma 90.00
_symmetry_space_group_name_H-M 'P 1'
_symmetry_Int_Tables_number 1
_symmetry_space_group_name_Hall 'P 1'
loop_
_atom_site_label
_atom_site_fract_x
_atom_site_fract_y
_atom_site_fract_z
Fe1 0.5000 0.5636 0.7433
Mg1 0.0000 0.9549 0.9616
Mg2 0.5000 0.2958 0.2875
Mn1 0.0000 0.6857 0.5076
```

***

Tm5GeRu2 | PBE | relaxed

Properties
Space-group type: I4/mcm (140)
Calculated total energy in eV per atom: -6.210
ρ in g/cm³: 10.08

CIF file:
```
data_Tm5GeRu2
_chemical_formula_sum 'Tm10 Ge2 Ru4'
_cell_length_a 7.5248
_cell_length_b 7.5248
_cell_length_c 8.4084
_cell_angle_alpha 116.58
_cell_angle_beta 116.58
_cell_angle_gamma 90.00
_symmetry_space_group_name_H-M 'P 1'
_symmetry_Int_Tables_number 1
_symmetry_space_group_name_Hall 'P 1'
loop_
_atom_site_label
_atom_site_fract_x
_atom_site_fract_y
_atom_site_fract_z
Tm1 0.5217 0.6995 0.7212
Tm2 0.8005 0.9783 0.2788
Tm3 0.0000 0.0000 0.0000
Tm4 0.5000 0.5000 0.0000
Tm5 0.1995 0.0217 0.7212
Tm6 0.6995 0.1995 0.7212
Tm7 0.0217 0.5217 0.7212
Tm8 0.3005 0.8005 0.2788
Tm9 0.9783 0.4783 0.2788
Tm10 0.4783 0.3005 0.2788
Ge1 0.7500 0.7500 0.5000
Ge2 0.2500 0.2500 0.5000
Ru1 0.1377 0.3623 0.0000
Ru2 0.6377 0.1377 0.0000
Ru3 0.3623 0.8623 0.0000
Ru4 0.8623 0.6377 0.0000
```

***

Ag4BrO | PBE | relaxed

Properties
Space-group type: C2/c (15)
Formation energy without anion corrections in eV per atom: -0.005
ρ in g/cm³: 7.18

CIF file:
```
data_Ag4BrO
_chemical_formula_sum 'Ag8 Br2 O2'
_cell_length_a 4.7848
_cell_length_b 7.0469
_cell_length_c 8.3190
_cell_angle_alpha 112.65
_cell_angle_beta 103.36
_cell_angle_gamma 97.67
_symmetry_space_group_name_H-M 'P 1'
_symmetry_Int_Tables_number 1
_symmetry_space_group_name_Hall 'P 1'
loop_
_atom_site_label
_atom_site_fract_x
_atom_site_fract_y
_atom_site_fract_z
Ag1 0.0945 0.1906 0.1500
Ag2 0.5555 0.9594 0.1500
Ag3 0.2961 0.5670 0.6339
Ag4 0.7039 0.4330 0.3661
Ag5 0.1622 0.9331 0.3661
Ag6 0.4445 0.0406 0.8500
Ag7 0.8378 0.0669 0.6339
Ag8 0.9055 0.8094 0.8500
Br1 0.3490 0.5990 0.1981
Br2 0.6510 0.4010 0.8019
O1 0.0365 0.7865 0.5730
O2 0.9635 0.2135 0.4270
```

***

YReO6 | PBE | relaxed

Properties
Space-group type: C2/m (12)
Formation energy without anion corrections in eV per atom: -1.614
ρ in g/cm³: 6.61

CIF file:
```
data_YReO6
_chemical_formula_sum 'Y1 Re1 O6'
_cell_length_a 4.3589
_cell_length_b 4.3589
_cell_length_c 5.0236
_cell_angle_alpha 95.97
_cell_angle_beta 95.97
_cell_angle_gamma 98.53
_symmetry_space_group_name_H-M 'P 1'
_symmetry_Int_Tables_number 1
_symmetry_space_group_name_Hall 'P 1'
loop_
_atom_site_label
_atom_site_fract_x
_atom_site_fract_y
_atom_site_fract_z
Y1 0.0000 0.0000 0.0000
Re1 0.5000 0.5000 0.5000
O1 0.2189 0.2189 0.6563
O2 0.5518 0.1706 0.2391
O3 0.7811 0.7811 0.3437
O4 0.8294 0.4482 0.7609
O5 0.4482 0.8294 0.7609
O6 0.1706 0.5518 0.2391
```

***

ScOsI2O | PBE | relaxed

Properties
Energy relative to the lowest polymorph listed for this composition in meV per atom: 0
Space-group type: P4/mmm (123)
Formation energy without anion corrections in eV per atom: -0.078
ρ in g/cm³: 7.05

CIF file:
```
data_ScOsI2O
_chemical_formula_sum 'Sc1 Os1 I2 O1'
_cell_length_a 5.6407
_cell_length_b 5.6407
_cell_length_c 3.7379
_cell_angle_alpha 90.00
_cell_angle_beta 90.00
_cell_angle_gamma 90.00
_symmetry_space_group_name_H-M 'P 1'
_symmetry_Int_Tables_number 1
_symmetry_space_group_name_Hall 'P 1'
loop_
_atom_site_label
_atom_site_fract_x
_atom_site_fract_y
_atom_site_fract_z
I1 0.0000 0.5000 0.0000
I2 0.5000 0.0000 0.0000
Sc1 0.5000 0.5000 0.5000
Os1 0.0000 0.0000 0.0000
O1 0.0000 0.0000 0.5000
```

***

NbGe2W | PBE | relaxed

Properties
Energy relative to the lowest polymorph listed for this composition in meV per atom: 263
Space-group type: I-42d (122)
ρ in g/cm³: 9.81

CIF file:
```
data_NbGe2W
_chemical_formula_sum 'Nb2 Ge4 W2'
_cell_length_a 3.8968
_cell_length_b 3.8968
_cell_length_c 9.8057
_cell_angle_alpha 78.54
_cell_angle_beta 78.54
_cell_angle_gamma 90.00
_symmetry_space_group_name_H-M 'P 1'
_symmetry_Int_Tables_number 1
_symmetry_space_group_name_Hall 'P 1'
loop_
_atom_site_label
_atom_site_fract_x
_atom_site_fract_y
_atom_site_fract_z
Nb1 0.5000 0.5000 0.0000
Nb2 0.2500 0.7500 0.5000
Ge1 0.6286 0.1250 0.2500
Ge2 0.1214 0.6250 0.2500
Ge3 0.3750 0.3714 0.7500
Ge4 0.8750 0.8786 0.7500
W1 0.0000 0.0000 0.0000
W2 0.7500 0.2500 0.5000
```

***

YThTlC | PBE | relaxed

Properties
Space-group type: R3m (160)
Calculated total energy in eV per atom: -6.707
ρ in g/cm³: 9.21

CIF file:
```
data_YThTlC
_chemical_formula_sum 'Y1 Th1 Tl1 C1'
_cell_length_a 3.6612
_cell_length_b 3.6620
_cell_length_c 8.6080
_cell_angle_alpha 90.01
_cell_angle_beta 102.24
_cell_angle_gamma 120.00
_symmetry_space_group_name_H-M 'P 1'
_symmetry_Int_Tables_number 1
_symmetry_space_group_name_Hall 'P 1'
loop_
_atom_site_label
_atom_site_fract_x
_atom_site_fract_y
_atom_site_fract_z
Y1 0.5228 0.1592 0.6973
Th1 0.0778 0.9368 0.0305
Tl1 0.9764 0.3865 0.3774
C1 0.3009 0.5483 0.8644
```

***

RuPtSe2N | PBE | relaxed

Properties
Energy relative to the lowest polymorph listed for this composition in meV per atom: 0
Space-group type: P4/mmm (123)
Formation energy without anion corrections in eV per atom: 0.627
ρ in g/cm³: 8.67

CIF file:
```
data_RuPtSe2N
_chemical_formula_sum 'Ru1 Pt1 Se2 N1'
_cell_length_a 4.9922
_cell_length_b 4.9922
_cell_length_c 3.5958
_cell_angle_alpha 90.00
_cell_angle_beta 90.00
_cell_angle_gamma 90.00
_symmetry_space_group_name_H-M 'P 1'
_symmetry_Int_Tables_number 1
_symmetry_space_group_name_Hall 'P 1'
loop_
_atom_site_label
_atom_site_fract_x
_atom_site_fract_y
_atom_site_fract_z
Ru1 0.0000 0.0000 0.0000
Se1 0.0000 0.5000 0.0000
Se2 0.5000 0.0000 0.0000
Pt1 0.5000 0.5000 0.5000
N1 0.0000 0.0000 0.5000
```

***

PmTlIn | PBE | relaxed

Properties
Energy relative to the lowest polymorph listed for this composition in meV per atom: 0
Space-group type: P-3m1 (164)
ρ in g/cm³: 9.20

CIF file:
```
data_PmTlIn
_chemical_formula_sum 'Pm2 Tl2 In2'
_cell_length_a 5.0208
_cell_length_b 5.0208
_cell_length_c 7.6758
_cell_angle_alpha 90.00
_cell_angle_beta 90.00
_cell_angle_gamma 60.00
_symmetry_space_group_name_H-M 'P 1'
_symmetry_Int_Tables_number 1
_symmetry_space_group_name_Hall 'P 1'
loop_
_atom_site_label
_atom_site_fract_x
_atom_site_fract_y
_atom_site_fract_z
Pm1 0.0000 0.0000 0.7470
Pm2 0.0000 0.0000 0.2530
Tl1 0.6667 0.6667 0.0630
Tl2 0.3333 0.3333 0.9370
In1 0.6667 0.6667 0.5416
In2 0.3333 0.3333 0.4584
```

***

Ce2ScTl3 | PBE | relaxed

Properties
Space-group type: P4/mmm (123)
Calculated total energy in eV per atom: -4.466
ρ in g/cm³: 9.71

CIF file:
```
data_Ce2ScTl3
_chemical_formula_sum 'Ce2 Sc1 Tl3'
_cell_length_a 3.4633
_cell_length_b 3.4633
_cell_length_c 13.3727
_cell_angle_alpha 90.00
_cell_angle_beta 90.00
_cell_angle_gamma 90.00
_symmetry_space_group_name_H-M 'P 1'
_symmetry_Int_Tables_number 1
_symmetry_space_group_name_Hall 'P 1'
loop_
_atom_site_label
_atom_site_fract_x
_atom_site_fract_y
_atom_site_fract_z
Ce1 0.5000 0.5000 0.8239
Ce2 0.5000 0.5000 0.1761
Sc1 0.5000 0.5000 0.5000
Tl1 0.0000 0.0000 0.0000
Tl2 0.0000 0.0000 0.6500
Tl3 0.0000 0.0000 0.3500
```

***

CaPr4Y6 | PBE | relaxed

Properties
Space-group type: I-42m (121)
Calculated total energy in eV per atom: -5.075
ρ in g/cm³: 4.59

CIF file:
```
data_CaPr4Y6
_chemical_formula_sum 'Ca1 Pr4 Y6'
_cell_length_a 8.6891
_cell_length_b 8.6891
_cell_length_c 8.6891
_cell_angle_alpha 79.36
_cell_angle_beta 126.32
_cell_angle_gamma 126.32
_symmetry_space_group_name_H-M 'P 1'
_symmetry_Int_Tables_number 1
_symmetry_space_group_name_Hall 'P 1'
loop_
_atom_site_label
_atom_site_fract_x
_atom_site_fract_y
_atom_site_fract_z
Ca1 0.0000 0.0000 0.0000
Pr1 0.0000 0.5676 0.0534
Pr2 0.4858 0.4324 0.4324
Pr3 0.0000 0.0534 0.5676
Pr4 0.5142 0.9466 0.9466
Y1 0.0000 0.7379 0.4208
Y2 0.0000 0.4208 0.7379
Y3 0.3171 0.5792 0.5792
Y4 0.5000 0.5000 0.0000
Y5 0.6829 0.2621 0.2621
Y6 0.5000 0.0000 0.5000
```

***

> ρ of number 12 (CaPr4Y6)?

4.59 g/cm³

***

> Among the records above, which one has the highest ρ?

ZnFePt2Au

***

> The highest ρ belongs to which entry?

ZnFePt2Au